No. 1
DFT (GGA-PBE) results for an optimized crystal structure of MgAlW2.

The structure belongs to space group P2/m (No. 10); the cell edges are 2.734, 4.474 and 5.467 Å and the angles 90.00°, 104.39° and 90.00°. The asymmetric unit holds Mg at (0.000, 0.000, 0.000), Al at (0.500, 0.000, 0.500) and W at (0.254, 0.500, 0.746).

The formation energy is 0.23 eV/atom. As for the energy above the most stable polymorph in this dataset: 75 meV/atom. For the theoretical density, the calculation gives 10.74 g/cm³. The value obtained for the electronic total energy is -30.34 eV for the cell shown.


No. 2
DFT (GGA-PBE) results for an optimized crystal structure of Tl2RuO.

The structure belongs to space group I-42d (No. 122); the cell edges are 6.822, 6.822 and 6.546 Å and the angles 90.00°, 90.00° and 90.00°. The asymmetric unit holds Tl at (0.204, 0.750, 0.125), Ru at (0.000, 0.000, 0.500) and O at (0.000, 0.000, 0.000).

As for the energy above the most stable polymorph in this dataset: 0 meV/atom. For the theoretical density, the calculation gives 11.47 g/cm³. The calculation puts the uncorrected formation energy at 0.334 eV per atom. The value obtained for the electronic total energy is -70.52 eV for the cell shown.